No. 1
# HfTi2Pt4

Crystalline HfTi2Pt4 at its relaxed geometry (PBE, Alexandria).

Cell lengths 4.3361, 4.3361, 22.7894 Å; angles 90.00, 90.00, 120.00 degrees
Space group R-3m (No. 166, hexagonal axes)
Symmetry-distinct sites (fractional):
Hf (0.0000, 0.0000, 0.0000) (multiplicity 3)
Ti (0.0000, 0.0000, 0.2427) (multiplicity 6)
Pt (0.0000, 0.0000, 0.1293) (multiplicity 6)
Pt (0.0000, 0.0000, 0.3942) (multiplicity 6)

Calculated values
Energy of formation (eV/atom): -0.80
Electronic total energy (eV/atom): -7.93



No. 2
# Hf4Ti2Pt

Crystalline Hf4Ti2Pt at its relaxed geometry (PBE, Alexandria).

Cell lengths 5.091, 5.091, 13.183 Å; angles 90.00, 90.00, 90.00 degrees
Space group I4/mmm (No. 139)
Symmetry-distinct sites (fractional):
Hf (0.000, 0.000, 0.197) (multiplicity 4)
Hf (0.000, 0.500, 0.000) (multiplicity 4)
Ti (0.000, 0.000, 0.399) (multiplicity 4)
Pt (0.000, 0.000, 0.000) (multiplicity 2)

Calculated values
Energy of formation (eV/atom): 0.66
Electronic total energy (eV/atom): -8.15



The lowest electronic total energy belongs to which entry?
Hf4Ti2Pt



The lowest energy of formation belongs to which entry?
HfTi2Pt4



What is the energy of formation in the second record?
0.66 eV/atom